Compound: YZrTa2Fe
Source: Alexandria
Functional: PBE-GGA
Structure: relaxed

Cell and atoms, written as CIF:
```
data_YZrTa2Fe
_chemical_formula_sum 'Y1 Zr1 Ta2 Fe1'
_space_group_name_H-M_alt 'P 1'
_space_group_IT_number 1
_cell_length_a 4.684
_cell_length_b 4.973
_cell_length_c 4.684
_cell_angle_alpha 90.00
_cell_angle_beta 90.00
_cell_angle_gamma 90.00
loop_
_space_group_symop_operation_xyz
'x,y,z'
loop_
_atom_site_label
_atom_site_fract_x
_atom_site_fract_y
_atom_site_fract_z
Y1 0.000 0.500 0.000
Fe1 0.000 0.000 0.000
Zr1 0.500 0.500 0.500
Ta1 0.000 0.000 0.500
Ta2 0.500 0.000 0.000
```

Output
Uncorrected energy in eV/atom: -8.861
Energy of formation in eV/atom: 0.58
Symmetry: P4/mmm (123)


Compound: UFeCoRu
Source: Alexandria
Functional: PBE-GGA
Structure: relaxed

Cell and atoms, written as CIF:
```
data_UFeCoRu
_chemical_formula_sum 'U1 Fe1 Co1 Ru1'
_space_group_name_H-M_alt 'P 1'
_space_group_IT_number 1
_cell_length_a 3.899
_cell_length_b 3.808
_cell_length_c 3.810
_cell_angle_alpha 90.00
_cell_angle_beta 90.00
_cell_angle_gamma 90.00
loop_
_space_group_symop_operation_xyz
'x,y,z'
loop_
_atom_site_label
_atom_site_fract_x
_atom_site_fract_y
_atom_site_fract_z
U1 0.500 0.500 0.000
Fe1 0.500 0.000 0.500
Co1 0.000 0.000 0.000
Ru1 0.000 0.500 0.500
```

Output
Uncorrected energy in eV/atom: -9.237
Energy of formation in eV/atom: -0.20
Symmetry: Pmmm (47)
Distance to the lowest polymorph of the same formula in eV/f.u.: 0.000


Compound: PmV2Cl8
Source: Alexandria
Functional: PBE-GGA
Structure: relaxed

Cell and atoms, written as CIF:
```
data_PmV2Cl8
_chemical_formula_sum 'Pm1 V2 Cl8'
_space_group_name_H-M_alt 'P 1'
_space_group_IT_number 1
_cell_length_a 6.425
_cell_length_b 7.869
_cell_length_c 7.869
_cell_angle_alpha 73.68
_cell_angle_beta 86.71
_cell_angle_gamma 86.71
loop_
_space_group_symop_operation_xyz
'x,y,z'
loop_
_atom_site_label
_atom_site_fract_x
_atom_site_fract_y
_atom_site_fract_z
Pm1 0.000 0.000 0.000
V1 0.645 0.796 0.796
V2 0.355 0.204 0.204
Cl1 0.245 0.290 0.914
Cl2 0.755 0.086 0.710
Cl3 0.278 0.824 0.824
Cl4 0.722 0.176 0.176
Cl5 0.245 0.914 0.290
Cl6 0.755 0.710 0.086
Cl7 0.793 0.633 0.633
Cl8 0.207 0.367 0.367
```

Output
Uncorrected energy in eV/atom: -4.845
Symmetry: C2/m (12)
ΔE_f (raw) in eV/atom: -1.412


Compound: SrSbRuI2
Source: Alexandria
Functional: PBE-GGA
Structure: relaxed

Cell and atoms, written as CIF:
```
data_SrSbRuI2
_chemical_formula_sum 'Sr1 Sb1 Ru1 I2'
_space_group_name_H-M_alt 'P 1'
_space_group_IT_number 1
_cell_length_a 5.652
_cell_length_b 5.652
_cell_length_c 5.055
_cell_angle_alpha 90.00
_cell_angle_beta 90.00
_cell_angle_gamma 90.00
loop_
_space_group_symop_operation_xyz
'x,y,z'
loop_
_atom_site_label
_atom_site_fract_x
_atom_site_fract_y
_atom_site_fract_z
I1 0.000 0.500 0.000
I2 0.500 0.000 0.000
Sb1 0.000 0.000 0.500
Sr1 0.500 0.500 0.500
Ru1 0.000 0.000 0.000
```

Output
Uncorrected energy in eV/atom: -3.875
Symmetry: P4/mmm (123)
ΔE_f (raw) in eV/atom: -0.239
Distance to the lowest polymorph of the same formula in eV/f.u.: 0.000


Compound: Hf2Au2O
Source: Alexandria
Functional: PBE-GGA
Structure: relaxed

Cell and atoms, written as CIF:
```
data_Hf2Au2O
_chemical_formula_sum 'Hf4 Au4 O2'
_space_group_name_H-M_alt 'P 1'
_space_group_IT_number 1
_cell_length_a 5.973
_cell_length_b 5.973
_cell_length_c 4.924
_cell_angle_alpha 90.00
_cell_angle_beta 90.00
_cell_angle_gamma 90.00
loop_
_space_group_symop_operation_xyz
'x,y,z'
loop_
_atom_site_label
_atom_site_fract_x
_atom_site_fract_y
_atom_site_fract_z
Hf1 0.324 0.824 0.000
Hf2 0.824 0.676 0.000
Hf3 0.676 0.176 0.000
Hf4 0.176 0.324 0.000
Au1 0.159 0.659 0.500
Au2 0.659 0.841 0.500
Au3 0.841 0.341 0.500
Au4 0.341 0.159 0.500
O1 0.000 0.000 0.000
O2 0.500 0.500 0.000
```

Output
Uncorrected energy in eV/atom: -7.460
Symmetry: P4/mbm (127)
ΔE_f (raw) in eV/atom: -1.176


Compound: Rb2PC
Source: Alexandria
Functional: PBE-GGA
Structure: relaxed

Cell and atoms, written as CIF:
```
data_Rb2PC
_chemical_formula_sum 'Rb4 P2 C2'
_space_group_name_H-M_alt 'P 1'
_space_group_IT_number 1
_cell_length_a 12.446
_cell_length_b 12.446
_cell_length_c 8.989
_cell_angle_alpha 46.19
_cell_angle_beta 46.19
_cell_angle_gamma 90.00
loop_
_space_group_symop_operation_xyz
'x,y,z'
loop_
_atom_site_label
_atom_site_fract_x
_atom_site_fract_y
_atom_site_fract_z
P1 0.000 0.000 0.000
P2 0.750 0.250 0.500
C1 0.500 0.500 0.000
C2 0.250 0.750 0.500
Rb1 0.392 0.125 0.250
Rb2 0.358 0.625 0.250
Rb3 0.375 0.608 0.750
Rb4 0.875 0.642 0.750
```

Output
Uncorrected energy in eV/atom: -3.613
Energy of formation in eV/atom: 0.53
Symmetry: I-42d (122)
Distance to the lowest polymorph of the same formula in eV/f.u.: 0.000


Compound: Ce2Ge3IrPt4
Source: Alexandria
Functional: PBE-GGA
Structure: relaxed

Cell and atoms, written as CIF:
```
data_Ce2Ge3IrPt4
_chemical_formula_sum 'Ce2 Ge3 Ir1 Pt4'
_space_group_name_H-M_alt 'P 1'
_space_group_IT_number 1
_cell_length_a 4.070
_cell_length_b 4.070
_cell_length_c 11.454
_cell_angle_alpha 90.00
_cell_angle_beta 90.00
_cell_angle_gamma 90.00
loop_
_space_group_symop_operation_xyz
'x,y,z'
loop_
_atom_site_label
_atom_site_fract_x
_atom_site_fract_y
_atom_site_fract_z
Ce1 0.500 0.000 0.266
Ce2 0.000 0.500 0.734
Ge1 0.000 0.000 0.500
Ge2 0.500 0.000 0.870
Ge3 0.000 0.500 0.130
Ir1 0.500 0.500 0.500
Pt1 0.500 0.500 0.000
Pt2 0.000 0.000 0.000
Pt3 0.500 0.000 0.659
Pt4 0.000 0.500 0.341
```

Output
Uncorrected energy in eV/atom: -6.634
Energy of formation in eV/atom: -0.76
Symmetry: P-4m2 (115)